The following is a PBE calculation of a relaxed Rb3U2PbS9 crystal, from Alexandria.

Geometry as POSCAR:
```
Rb3U2PbS9
1.0
7.470 0.000 0.000
-3.735 6.469 0.000
0.000 0.000 9.352
Rb U Pb S
3 2 1 9
direct
0.000 0.000 0.000
0.333 0.667 0.662
0.667 0.333 0.338
0.333 0.667 0.160
0.667 0.333 0.840
0.000 0.000 0.500
0.000 0.500 0.000
0.176 0.351 0.310
0.176 0.824 0.310
0.351 0.176 0.690
0.500 0.000 0.000
0.500 0.500 0.000
0.649 0.824 0.310
0.824 0.176 0.690
0.824 0.649 0.690
```

Output
E_tot = -5.486 eV/atom
ΔE_f (raw) = -1.06 eV per atom
magnetic moment = 0.00 μB per formula unit